Entry 1:
La2AlBr | Alexandria | PBE | relaxed; relative energy among the computed polymorphs = 136 kJ/mol of formula units; space-group type = No. 119
1.0
-2.331 -3.499 5.084
3.755 -4.147 3.496
0.052 6.175 -2.321
Al Br La
1 1 2
Cartesian
0.712 -3.823 4.290
-0.783 -0.573 3.527
0.000 0.000 0.000
2.260 -0.897 2.733

***

Entry 2:
Sm3AuSe | Alexandria | PBE | relaxed; space-group type = No. 11
1.0
-3.807 0.595 1.822
2.003 -4.139 5.535
3.202 7.578 4.216
Sm Au Se
6 2 2
Cartesian
0.096 2.476 1.885
1.075 0.580 4.548
2.587 6.222 5.866
1.303 1.558 9.689
-1.188 -2.189 5.708
0.324 3.453 7.026
-1.827 0.643 3.450
3.226 3.390 8.124
-0.038 0.380 7.272
1.437 3.653 4.302

***

Entry 3:
Fe4PbSe | Alexandria | PBE | relaxed; space-group type = No. 216
1.0
4.577 -2.263 0.507
0.518 -4.999 -1.031
2.593 -1.506 -4.163
Fe Pb Se
4 1 1
Cartesian
5.165 -4.419 -1.508
4.178 -4.043 -3.832
3.145 -5.781 -2.273
2.887 -3.293 -1.760
5.766 -6.576 -3.515
0.000 0.000 0.000

***

Looking at E_form (uncorrected) for the records above, in order, we have -1.9 -4.8 2.4 eV per formula unit.
Looking at electronic total energy for the records above, in order, we have -17.165 -51.386 -38.683 eV for the cell shown.